# POsRu2

An optimized crystal structure of POsRu2 (GGA-PBE, Alexandria via LeMat-Bulk).

abc: 10.258 2.816 3.780
angles: 90.00 90.10 90.00
Space group Cm (No. 8)
Asymmetric unit:
P  0.000  0.000  0.000 [2 per cell]
Os  0.347  0.500  0.500 [2 per cell]
Ru  0.078  0.500  0.499 [2 per cell]
Ru  0.227  0.000  0.000 [2 per cell]

Computed properties:
E_tot in eV per atom: -8.892
Energy relative to the elements in eV/atom: -0.09